This record from Alexandria describes an optimized crystal structure of Ba4CdW. The functional is PBE-GGA.

Results
* SG: F-43m
* formation enthalpy at 0 K: 1.207 eV/atom

POSCAR file:
```
Ba4CdW
1.0
0.000 5.030 5.030
5.030 0.000 5.030
5.030 5.030 0.000
Ba Cd W
4 1 1
Direct
0.876 0.375 0.375
0.375 0.375 0.375
0.375 0.375 0.876
0.375 0.876 0.375
0.750 0.750 0.750
0.000 0.000 0.000
```

This record from Alexandria describes an optimized crystal structure of NiHg3B. The functional is PBE-GGA.

Results
* ΔE to the lowest computed polymorph: 23.6 kJ per mole of atoms
* SG: Pm-3m
* formation enthalpy at 0 K: 1.126 eV/atom

POSCAR file:
```
NiHg3B
1.0
4.982 0.000 0.000
0.000 4.982 0.000
0.000 0.000 4.982
B Hg Ni
1 3 1
Direct
0.500 0.500 0.500
0.500 0.000 0.000
0.000 0.500 0.000
0.000 0.000 0.500
0.000 0.000 0.000
```

Q: Look up the formation enthalpy at 0 K of the first one.
A: 1.207 eV/atom

Q: The highest formation enthalpy at 0 K belongs to which entry?
A: Ba4CdW

What did the first record say?
This record from Alexandria describes an optimized crystal structure of Ba4CdW. The functional is PBE-GGA.

Results
* SG: F-43m
* formation enthalpy at 0 K: 1.207 eV/atom

POSCAR file:
```
Ba4CdW
1.0
0.000 5.030 5.030
5.030 0.000 5.030
5.030 5.030 0.000
Ba Cd W
4 1 1
Direct
0.876 0.375 0.375
0.375 0.375 0.375
0.375 0.375 0.876
0.375 0.876 0.375
0.750 0.750 0.750
0.000 0.000 0.000
```